VASP calculation (GGA-PBE) on crystalline NpMnCoRh at its relaxed geometry.

Cell: 4.4794 4.4794 4.4794 Å, 60.00 60.00 60.00°
Site moments in Bohr magnetons follow the coordinates.
Sites, in units of the cell vectors:
Np 0.0000 0.0000 0.0000  -3.46
Co 0.2500 0.2500 0.2500  0.97
Mn 0.5000 0.5000 0.5000  3.48
Rh 0.7500 0.7500 0.7500  0.36

Output
Symmetry ... No. 216
Formation energy from the elements ... -0.0294 eV/atom